{"formula": "Ni2MoO5", "functional": "PBE+U", "state": "optimized geometry", "energy_ev_per_atom": -5.87, "mass_density_g_cm3": 4.6, "volume_a3_per_atom": 13.23, "magnetic_moment_mub_per_atom": 0.50, "lattice": [[5.314, -0.222, 2.204], [-0.694, 5.273, 2.204], [-0.029, -0.032, 7.571]], "species": ["Ni", "Ni", "Ni", "Ni", "Mo", "Mo", "O", "O", "O", "O", "O", "O", "O", "O", "O", "O"], "fractional_positions": [[0.500, 0.000, 0.000], [0.500, 0.500, 0.000], [0.500, 0.500, 0.500], [0.000, 0.500, 0.500], [0.876, 0.124, 0.250], [0.124, 0.876, 0.750], [0.624, 0.376, 0.750], [0.376, 0.624, 0.250], [0.306, 0.797, 0.905], [0.799, 0.787, 0.402], [0.797, 0.306, 0.405], [0.213, 0.201, 0.098], [0.787, 0.799, 0.902], [0.201, 0.213, 0.598], [0.203, 0.694, 0.595], [0.694, 0.203, 0.095]]}